The following is a DFT calculation (GGA-PBE) of MnCr2SnB after structural relaxation.

Cell: 5.158 5.158 4.198 Å, 90.00 90.00 90.00°
Atoms (fractional coordinates):
Mn (0.000, 0.000, 0.000)
Cr (0.000, 0.500, 0.500)
Cr (0.500, 0.000, 0.500)
Sn (0.500, 0.500, 0.500)
B (0.500, 0.500, 0.000)

Computed properties:
The calculation puts the energy of formation at 1754 meV per atom. Its space group is P4/mmm.

The following is a DFT calculation (GGA-PBE) of K2BaHg2Bi2 after structural relaxation.

Cell: 10.404 10.404 10.404 Å, 29.83 29.83 29.83°
Atoms (fractional coordinates):
K (0.142, 0.142, 0.142)
K (0.858, 0.858, 0.858)
Ba (0.000, 0.000, 0.000)
Hg (0.436, 0.436, 0.436)
Hg (0.564, 0.564, 0.564)
Bi (0.265, 0.265, 0.265)
Bi (0.735, 0.735, 0.735)

Computed properties:
The calculation puts the energy of formation at -406 meV per atom. Its space group is R-3m.

The following is a DFT calculation (GGA-PBE) of CrHgW2 after structural relaxation.

Cell: 3.888 3.888 4.223 Å, 90.00 90.00 90.00°
Atoms (fractional coordinates):
Cr (0.000, 0.000, 0.000)
Hg (0.500, 0.500, 0.000)
W (0.000, 0.500, 0.500)
W (0.500, 0.000, 0.500)

Computed properties:
The calculation puts the energy of formation at 625 meV per atom. Its space group is P4/mmm.

The following spin magnetization values (in μB per cell) correspond, in order, to the records above: 3.45, 0.00, 0.89.